# Tm2Zn2Ag3

A geometry-optimized Tm2Zn2Ag3 structure (PBE, Alexandria).

Cell lengths 4.1824, 19.2434, 3.5105 Å; angles 90.00, 90.00, 90.00 degrees
Space group Cmmm (No. 65)
One atom of each set of equivalent atoms:
Tm 0.0000 0.1553 0.0000 (multiplicity 4)
Zn 0.0000 0.2850 0.5000 (multiplicity 4)
Ag 0.0000 0.0000 0.0000 (multiplicity 2)
Ag 0.0000 0.4275 0.5000 (multiplicity 4)

## Properties
E_tot in eV/cell: -43.3
E_form in eV per atom: -0.23

=====

# InAg2Pb2

A geometry-optimized InAg2Pb2 structure (PBE, Alexandria).

Cell lengths 3.9021, 3.9021, 17.4144 Å; angles 90.00, 90.00, 90.00 degrees
Space group I4/mmm (No. 139)
One atom of each set of equivalent atoms:
In 0.0000 0.0000 0.0000 (multiplicity 2)
Ag 0.0000 0.5000 0.2500 (multiplicity 4)
Pb 0.0000 0.0000 0.3905 (multiplicity 4)

## Properties
E_tot in eV/cell: -30.3
E_form in eV per atom: 0.14

=====

# HfCd2Ag8

A geometry-optimized HfCd2Ag8 structure (PBE, Alexandria).

Cell lengths 8.7790, 17.5910, 2.9134 Å; angles 90.00, 97.02, 90.00 degrees
Space group C2/m (No. 12)
One atom of each set of equivalent atoms:
Hf 0.0000 0.0000 0.0000 (multiplicity 2)
Cd 0.0000 0.3789 0.5000 (multiplicity 4)
Ag 0.0000 0.2410 0.0000 (multiplicity 4)
Ag 0.1687 0.1259 0.5451 (multiplicity 8)
Ag 0.1704 0.5000 0.0153 (multiplicity 4)

## Properties
E_tot in eV/cell: -66.9
E_form in eV per atom: 0.10

=====

# TaTl

A geometry-optimized TaTl structure (PBE, Alexandria).

Cell lengths 4.5909, 4.5909, 10.5347 Å; angles 90.00, 90.00, 120.00 degrees
Space group P6_3/mmc (No. 194)
One atom of each set of equivalent atoms:
Ta 0.0000 0.0000 0.2500 (multiplicity 2)
Ta 0.3333 0.6667 0.2500 (multiplicity 2)
Tl 0.3333 0.6667 0.5900 (multiplicity 4)

## Properties
E_tot in eV/cell: -49.8
E_form in eV per atom: 0.88

=====

# Mn2Si2Ru

A geometry-optimized Mn2Si2Ru structure (PBE, Alexandria).

Cell lengths 4.0753, 4.0753, 7.9162 Å; angles 90.00, 90.00, 90.00 degrees
Space group I4/mmm (No. 139)
One atom of each set of equivalent atoms:
Mn 0.0000 0.0000 0.1226 (multiplicity 4)
Si 0.0000 0.5000 0.2500 (multiplicity 4)
Ru 0.0000 0.0000 0.5000 (multiplicity 2)

## Properties
E_tot in eV/cell: -74.2
Uncorrected formation energy in eV per formula unit: 1.34

=====

# KLiCu2Sn

A geometry-optimized KLiCu2Sn structure (PBE, Alexandria).

Cell lengths 4.8351, 4.8351, 4.8603 Å; angles 90.00, 90.00, 90.00 degrees
Space group P4/mmm (No. 123)
One atom of each set of equivalent atoms:
K 0.0000 0.0000 0.0000 (multiplicity 1)
Li 0.5000 0.5000 0.5000 (multiplicity 1)
Cu 0.0000 0.5000 0.5000 (multiplicity 2)
Sn 0.5000 0.5000 0.0000 (multiplicity 1)

## Properties
E_tot in eV/cell: -13.1
E_form in eV per atom: 0.42

=====

# Dy2ErTm4Mg

A geometry-optimized Dy2ErTm4Mg structure (PBE, Alexandria).

Cell lengths 11.9976, 3.6329, 11.4213 Å; angles 90.00, 107.30, 90.00 degrees
Space group C2/m (No. 12)
One atom of each set of equivalent atoms:
Dy 0.0228 0.0000 0.2716 (multiplicity 4)
Er 0.0000 0.5000 0.0000 (multiplicity 2)
Tm 0.2196 0.0000 0.6105 (multiplicity 4)
Tm 0.2378 0.5000 0.8677 (multiplicity 4)
Mg 0.0000 0.5000 0.5000 (multiplicity 2)

## Properties
E_tot in eV/cell: -66.1
E_form in eV per atom: 0.02

=====

# NbGa2IrRu

A geometry-optimized NbGa2IrRu structure (PBE, Alexandria).

Cell lengths 4.5836, 4.5836, 4.7134 Å; angles 90.00, 90.00, 90.00 degrees
Space group P4/mmm (No. 123)
One atom of each set of equivalent atoms:
Nb 0.0000 0.0000 0.0000 (multiplicity 1)
Ga 0.0000 0.5000 0.5000 (multiplicity 2)
Ir 0.5000 0.5000 0.0000 (multiplicity 1)
Ru 0.5000 0.5000 0.5000 (multiplicity 1)

## Properties
E_tot in eV/cell: -29.8
E_form in eV per atom: 0.90

=====

# LiAgHg6

A geometry-optimized LiAgHg6 structure (PBE, Alexandria).

Cell lengths 6.5987, 10.8586, 6.2946 Å; angles 90.00, 117.67, 90.00 degrees
Space group C2/m (No. 12)
One atom of each set of equivalent atoms:
Li 0.0000 0.0000 0.0000 (multiplicity 2)
Ag 0.0000 0.0000 0.5000 (multiplicity 2)
Hg 0.0035 0.5000 0.7480 (multiplicity 4)
Hg 0.0224 0.2194 0.7628 (multiplicity 8)

## Properties
E_tot in eV/cell: -13.7
E_form in eV per atom: -0.03

=====

# CaP2Se

A geometry-optimized CaP2Se structure (PBE, Alexandria).

Cell lengths 6.8743, 6.8743, 6.8743 Å; angles 90.00, 90.00, 90.00 degrees
Space group F-43m (No. 216)
One atom of each set of equivalent atoms:
Ca 0.0000 0.0000 0.0000 (multiplicity 4)
P 0.0000 0.0000 0.5000 (multiplicity 4)
P 0.2500 0.2500 0.7500 (multiplicity 4)
Se 0.2500 0.2500 0.2500 (multiplicity 4)

## Properties
E_tot in eV/cell: -65.7
Uncorrected formation energy in eV per formula unit: -0.11

=====

# Pm6SnRu

A geometry-optimized Pm6SnRu structure (PBE, Alexandria).

Cell lengths 8.0859, 10.2007, 6.5516 Å; angles 90.00, 104.71, 90.00 degrees
Space group C2/m (No. 12)
One atom of each set of equivalent atoms:
Pm 0.1166 0.1884 0.2896 (multiplicity 8)
Pm 0.2098 0.5000 0.1283 (multiplicity 4)
Sn 0.0000 0.5000 0.5000 (multiplicity 2)
Ru 0.0000 0.0000 0.0000 (multiplicity 2)

## Properties
E_tot in eV/cell: -85.8
E_form in eV per atom: -0.14

=====

# ZrGaSbI2

A geometry-optimized ZrGaSbI2 structure (PBE, Alexandria).

Cell lengths 5.4356, 5.4356, 5.4303 Å; angles 90.00, 90.00, 90.00 degrees
Space group P4/mmm (No. 123)
One atom of each set of equivalent atoms:
Zr 0.0000 0.0000 0.0000 (multiplicity 1)
Ga 0.5000 0.5000 0.5000 (multiplicity 1)
Sb 0.5000 0.5000 0.0000 (multiplicity 1)
I 0.0000 0.5000 0.5000 (multiplicity 2)

## Properties
E_tot in eV/cell: -16.0
Uncorrected formation energy in eV per formula unit: 2.77

=====

no.,density of states at the Fermi level (states/eV/atom)
1,0.522
2,0.591
3,0.305
4,0.710
5,0.333
6,0.348
7,1.304
8,1.364
9,0.192
10,0.417
11,0.947
12,1.091